GGA-PBE Li2HfBeTc, relaxed; space group = P4/mmm; ΔH_f (0 K) = 1.7 eV per formula unit
1.0
-0.548 -3.850 1.045
4.004 -0.019 2.029
-1.736 1.180 3.437
Hf Tc Li Be
1 1 2 1
Cartesian
0.860 -1.345 3.256
2.002 -0.009 1.015
-0.274 -1.925 0.523
-0.868 0.590 1.718
0.000 0.000 0.000

***

GGA-PBE Li2HfBeTe, relaxed; space group = P4/mmm; formation energy from raw total energies = 1205 meV/atom
1.0
5.286 0.000 0.000
0.000 4.778 0.000
0.000 0.000 5.286
Li Hf Te Be
2 1 1 1
Cartesian
0.000 0.000 2.643
2.643 0.000 0.000
0.000 0.000 0.000
2.643 2.389 2.643
0.000 2.389 0.000

***

GGA-PBE LiHfTiBe2, relaxed; space group = P4/mmm; ΔH_f (0 K) = 5.0 eV per formula unit
1.0
-3.534 -2.196 1.208
2.382 -2.685 2.086
-0.322 2.469 3.546
Li Hf Ti Be
1 1 1 2
Cartesian
1.191 -1.342 1.043
-0.737 -1.206 3.420
0.000 0.000 0.000
-1.767 -1.098 0.604
-0.161 1.235 1.773

***

GGA-PBE LiHf2ZrBe, relaxed; space group = P4/mmm; ΔH_f (0 K) = 6.3 eV per formula unit
1.0
-2.371 3.681 2.621
-3.807 -2.984 0.747
2.160 -1.677 4.309
Be Hf Li Zr
1 2 1 1
Cartesian
-1.904 -1.492 0.374
-1.185 1.841 1.310
1.080 -0.838 2.154
-2.009 -0.490 3.839
0.000 0.000 0.000

***

GGA-PBE Lu2HfBe, relaxed; space group = P4/mmm; ΔH_f (0 K) = 0.4 eV per formula unit
1.0
-0.866 2.877 1.335
-1.624 0.787 -2.748
-6.723 -3.412 2.995
Be Lu Hf
1 2 1
Cartesian
-1.245 1.832 -0.707
-1.432 -0.727 0.638
-5.291 -2.686 2.357
-4.606 0.126 0.791

***

GGA-PBE LuHfBeOs, relaxed; space group = F-43m; ΔH_f (0 K) = -1.0 eV per formula unit
1.0
4.634 0.000 0.000
2.317 4.014 0.000
2.317 1.338 3.784
Lu Be Hf Os
1 1 1 1
Cartesian
4.634 2.676 1.892
2.317 1.338 0.946
0.000 0.000 0.000
6.952 4.014 2.838

***

GGA-PBE LuHfBeZn, relaxed; space group = F-43m; ΔH_f (0 K) = -0.2 eV per formula unit
1.0
4.684 0.000 0.000
2.342 4.057 0.000
2.342 1.352 3.825
Hf Zn Be Lu
1 1 1 1
Cartesian
7.026 4.057 2.868
4.684 2.704 1.912
0.000 0.000 0.000
2.342 1.352 0.956

***

GGA-PBE HfMg3Be, relaxed; excess energy over the best structure of this formula in the dataset = 1179.9 meV per atom; space group = Pm-3m; ΔH_f (0 K) = 8.6 eV per formula unit
1.0
5.615 0.000 0.000
0.000 5.615 0.000
0.000 0.000 5.615
Mg Be Hf
3 1 1
Cartesian
0.000 2.808 0.000
2.808 0.000 0.000
0.000 0.000 2.808
2.808 2.808 2.808
0.000 0.000 0.000

***

GGA-PBE Hf2MgBe, relaxed; excess energy over the best structure of this formula in the dataset = 317.8 meV per atom; space group = R-3m; ΔH_f (0 K) = 1.6 eV per formula unit
1.0
3.111 0.000 0.000
1.555 2.694 0.000
1.555 0.898 9.787
Hf Be Mg
2 1 1
Cartesian
1.555 0.898 6.745
4.666 2.694 3.042
3.111 1.796 4.893
0.000 0.000 0.000

***

GGA-PBE HfMg2Be2, relaxed; space group = P4/mbm; ΔH_f (0 K) = 1.5 eV per formula unit
1.0
7.266 0.000 0.000
0.000 7.266 0.000
0.000 0.000 3.093
Hf Mg Be
2 4 4
Cartesian
3.633 3.633 0.000
0.000 0.000 0.000
1.288 4.921 1.547
5.978 2.345 1.547
4.921 5.978 1.547
2.345 1.288 1.547
2.787 6.420 0.000
4.479 0.846 0.000
6.420 4.479 0.000
0.846 2.787 0.000

***

GGA-PBE HfMg2Be, relaxed; space group = I-42d; ΔH_f (0 K) = 2.1 eV per formula unit
1.0
7.573 0.000 0.000
0.000 7.573 0.000
3.786 3.786 2.712
Mg Hf Be
4 2 2
Cartesian
2.339 5.680 0.678
5.233 1.893 0.678
9.466 9.020 2.034
5.680 6.126 2.034
7.573 3.786 1.356
0.000 0.000 0.000
3.786 7.573 1.356
3.786 3.786 0.000

***

GGA-PBE Hf2MgBe, relaxed; excess energy over the best structure of this formula in the dataset = 0.0 meV per atom; space group = P4/mmm; ΔH_f (0 K) = 0.3 eV per formula unit
1.0
2.973 0.000 0.000
0.000 2.973 0.000
0.000 0.000 8.482
Be Hf Mg
1 2 1
Cartesian
1.486 1.486 0.000
0.000 0.000 1.659
0.000 0.000 6.823
1.486 1.486 4.241

***

GGA-PBE HfMgBe, relaxed; space group = I4mm; ΔH_f (0 K) = 0.3 eV per formula unit
1.0
-0.788 -0.665 -2.825
-2.548 -1.243 1.004
-0.988 6.031 0.456
Be Mg Hf
1 1 1
Cartesian
-2.568 0.766 -1.064
-0.119 0.227 -0.020
-1.637 3.130 -0.280

***

GGA-PBE Hf2MgBe, relaxed; excess energy over the best structure of this formula in the dataset = 118.9 meV per atom; space group = Fm-3m; ΔH_f (0 K) = 0.8 eV per formula unit
1.0
2.035 1.637 3.880
1.053 4.544 0.350
-2.409 2.741 2.926
Mg Hf Be
1 2 1
Cartesian
0.340 4.461 3.578
0.170 2.230 1.789
0.510 6.691 5.367
0.000 0.000 0.000

***

GGA-PBE Hf2MgBe, relaxed; excess energy over the best structure of this formula in the dataset = 438.4 meV per atom; space group = I-42d; ΔH_f (0 K) = 2.0 eV per formula unit
1.0
-1.463 2.034 -7.050
1.781 -6.875 -2.353
-2.504 -3.221 -4.380
Mg Be Hf
2 2 4
Cartesian
0.000 0.000 0.000
-1.904 -1.804 -8.066
0.159 -2.421 -4.702
-0.282 -6.258 -5.717
-1.672 -4.565 -6.925
-1.686 -6.317 -11.398
0.233 -4.749 -3.790
-1.247 -0.492 -5.453

***

GGA-PBE HfMg3Be, relaxed; excess energy over the best structure of this formula in the dataset = 0.0 meV per atom; space group = Pm-3m; ΔH_f (0 K) = 2.7 eV per formula unit
1.0
4.645 0.000 0.000
0.000 4.645 0.000
0.000 0.000 4.645
Mg Be Hf
3 1 1
Cartesian
0.000 0.000 2.323
0.000 2.323 0.000
2.323 0.000 0.000
0.000 0.000 0.000
2.323 2.323 2.323

***

GGA-PBE Hf2MgBeO, relaxed; space group = P4/mmm; formation energy from raw total energies = 574 meV/atom
1.0
-0.964 -1.989 4.062
1.153 -3.912 -1.642
4.357 0.705 1.379
Hf O Be Mg
2 1 1 1
Cartesian
2.179 0.353 0.690
-0.482 -0.995 2.031
2.273 -2.598 1.900
0.000 0.000 0.000
0.577 -1.956 -0.821

***

GGA-PBE HfMgBePd, relaxed; space group = F-43m; ΔH_f (0 K) = -1.2 eV per formula unit
1.0
4.503 0.000 0.000
2.252 3.900 0.000
2.252 1.300 3.677
Pd Hf Be Mg
1 1 1 1
Cartesian
0.000 0.000 0.000
2.252 1.300 0.919
4.503 2.600 1.839
6.755 3.900 2.758

***

GGA-PBE HfMgBePt, relaxed; space group = F-43m; ΔH_f (0 K) = -2.0 eV per formula unit
1.0
-1.930 1.782 -3.651
0.443 -2.023 -3.992
-3.536 -2.035 -1.895
Mg Be Hf Pt
1 1 1 1
Cartesian
-1.256 -0.569 -2.384
0.000 0.000 0.000
-3.767 -1.707 -7.153
-2.511 -1.138 -4.769

***

GGA-PBE Hf2MgBe2Rh5, relaxed; space group = P4/mbm; ΔH_f (0 K) = -8.1 eV per formula unit
1.0
3.220 0.000 0.000
0.000 9.392 0.000
0.000 0.000 9.392
Rh Be Mg Hf
10 4 2 4
Cartesian
1.610 4.026 2.691
1.610 5.365 6.701
1.610 2.005 0.670
1.610 6.701 4.026
1.610 0.670 7.387
1.610 4.696 0.000
1.610 7.387 8.722
1.610 8.722 2.005
1.610 2.691 5.365
1.610 0.000 4.696
0.000 3.551 1.145
0.000 1.145 5.841
0.000 5.841 8.246
0.000 8.246 3.551
0.000 4.696 4.696
0.000 0.000 0.000
0.000 1.654 3.042
0.000 3.042 7.738
0.000 7.738 6.350
0.000 6.350 1.654

***

GGA-PBE Hf2MgBeSe, relaxed; space group = P4/mmm; formation energy from raw total energies = 584 meV/atom
1.0
-0.046 3.528 3.416
2.973 -2.565 2.689
3.835 2.161 -2.180
Se Hf Be Mg
1 2 1 1
Cartesian
0.000 0.000 0.000
1.917 1.080 -1.090
-0.023 1.764 1.708
3.381 1.562 1.963
1.487 -1.282 1.344

***

GGA-PBE HfMgBe2Sn, relaxed; space group = P4/mmm; ΔH_f (0 K) = 5.6 eV per formula unit
1.0
-0.960 2.797 3.239
-4.917 -1.384 -0.262
0.733 -3.163 2.948
Sn Mg Hf Be
1 1 1 2
Cartesian
-2.459 -0.692 -0.131
0.000 0.000 0.000
-2.572 -0.875 2.962
-0.480 1.398 1.619
0.367 -1.581 1.474

***

GGA-PBE Hf2MgBeTe, relaxed; space group = P4/mmm; formation energy from raw total energies = 167 meV/atom
1.0
4.779 0.000 0.000
0.000 4.540 0.000
0.000 0.000 4.779
Te Mg Hf Be
1 1 2 1
Cartesian
2.389 2.270 2.389
0.000 2.270 0.000
0.000 0.000 2.389
2.389 0.000 0.000
0.000 0.000 0.000

***

GGA-PBE HfMg2TiBe, relaxed; space group = P4/mmm; ΔH_f (0 K) = 6.8 eV per formula unit
1.0
5.156 0.000 0.000
0.000 4.736 0.000
0.000 0.000 5.156
Mg Hf Ti Be
2 1 1 1
Cartesian
2.578 0.000 0.000
0.000 0.000 2.578
0.000 2.368 0.000
0.000 0.000 0.000
2.578 2.368 2.578

***

GGA-PBE Hf2Mn3Be, relaxed; space group = C2/m; ΔH_f (0 K) = -1.5 eV per formula unit
1.0
-2.194 -0.111 -4.283
-0.867 -3.463 3.229
-1.305 3.402 3.287
Mn Hf Be
3 2 1
Cartesian
-1.749 1.646 -0.498
-2.183 -0.086 1.116
-0.652 1.701 1.643
-2.209 0.768 3.812
-2.157 -0.940 -1.580
0.000 0.000 0.000

***

GGA-PBE HfMnBe5, relaxed; space group = Pnma; ΔH_f (0 K) = -1.5 eV per formula unit
1.0
-0.357 -2.970 -3.247
4.958 -4.109 3.212
-6.555 -4.283 4.639
Be Mn Hf
20 4 4
Cartesian
0.876 -8.181 2.884
0.759 -4.079 0.602
-2.540 -5.841 5.578
-1.576 -7.120 2.184
-2.830 -3.180 1.720
1.695 -4.637 2.554
-1.154 -8.767 3.644
-4.681 -8.138 3.456
2.206 -8.135 1.239
-0.801 -2.594 0.960
0.585 -5.520 -0.974
-3.649 -6.724 2.050
2.380 -6.694 2.815
2.726 -3.224 1.148
-5.822 -6.221 1.828
-0.379 -4.241 2.420
-4.161 -3.226 3.365
-2.713 -7.282 4.002
-4.334 -4.668 1.789
3.867 -5.141 2.776
-0.505 -3.369 -1.365
0.502 -6.385 1.283
-2.456 -4.976 3.321
-1.449 -7.992 5.969
-0.136 -6.177 4.164
3.107 -5.640 0.315
-1.818 -5.185 0.440
-5.062 -5.721 4.289

***

GGA-PBE HfMnBe4, relaxed; space group = F-43m; ΔH_f (0 K) = -1.4 eV per formula unit
1.0
-3.922 2.159 0.036
-3.661 -1.980 -1.651
-3.263 -1.331 2.761
Be Mn Hf
4 1 1
Cartesian
-5.143 -0.046 -0.682
-6.798 -0.722 0.719
-4.941 0.283 1.556
-4.809 -1.817 0.701
0.000 0.000 0.000
-2.711 -0.288 0.287

***

no.,total moment (μB per cell)
1,0.0
2,2.3
3,1.6
4,0.0
5,0.0
6,0.0
7,0.0
8,1.8
9,0.0
10,0.0
11,0.0
12,0.0
13,0.0
14,0.0
15,0.0
16,0.0
17,0.0
18,0.0
19,0.0
20,0.0
21,0.0
22,0.0
23,0.0
24,0.0
25,0.0
26,8.0
27,1.0